Cs2RbDyCl6 after structural relaxation. Source: the Alexandria database, functional PBEsol.

a b c (Å): 7.9953 7.9953 7.9953
angles (deg): 60.00 60.00 60.00
Atoms (fractional coordinates):
Cl 0.7700 0.2300 0.7700
Cl 0.2300 0.2300 0.7700
Cl 0.7700 0.7700 0.2300
Cs 0.7500 0.7500 0.7500
Cl 0.2300 0.7700 0.7700
Dy 0.0000 0.0000 0.0000
Cs 0.2500 0.2500 0.2500
Cl 0.7700 0.2300 0.2300
Cl 0.2300 0.7700 0.2300
Rb 0.5000 0.5000 0.5000

Summary:
VASP energy = -4.12 eV per atom
Uncorrected formation energy = -2.125 eV per atom
Calculated volume = 36.14 A^3/atom

Cs3ErCl6 after structural relaxation. Source: the Alexandria database, functional PBEsol.

a b c (Å): 8.1724 8.1724 8.1724
angles (deg): 60.00 60.00 60.00
Atoms (fractional coordinates):
Cl 0.7768 0.2232 0.2232
Cl 0.2232 0.7768 0.7768
Cl 0.2232 0.7768 0.2232
Er 0.0000 0.0000 0.0000
Cl 0.7768 0.7768 0.2232
Cs 0.5000 0.5000 0.5000
Cs 0.7500 0.7500 0.7500
Cl 0.7768 0.2232 0.7768
Cs 0.2500 0.2500 0.2500
Cl 0.2232 0.2232 0.7768

Summary:
VASP energy = -4.09 eV per atom
Uncorrected formation energy = -2.111 eV per atom
Calculated volume = 38.60 A^3/atom

Cs2ErCl5 after structural relaxation. Source: the Alexandria database, functional PBEsol.

a b c (Å): 7.3257 9.3919 15.0519
angles (deg): 90.00 90.00 90.00
Atoms (fractional coordinates):
Cl 0.0000 0.0000 0.0000
Cl 0.9932 0.3373 0.1195
Er 0.7500 0.3194 0.5654
Er 0.7500 0.8194 0.9346
Er 0.2500 0.6806 0.4346
Cl 0.2500 0.2909 0.9078
Cl 0.0000 0.5000 0.5000
Cl 0.5068 0.8373 0.3805
Cl 0.0068 0.1627 0.6195
Cl 0.2500 0.5176 0.2988
Cl 0.7500 0.9824 0.7988
Cl 0.2500 0.7909 0.5922
Cl 0.5000 0.0000 0.0000
Cs 0.2500 0.6666 0.0842
Cl 0.9932 0.8373 0.3805
Cl 0.5000 0.5000 0.5000
Cl 0.4932 0.1627 0.6195
Cs 0.2500 0.9724 0.7903
Er 0.2500 0.1806 0.0654
Cl 0.5068 0.3373 0.1195
Cs 0.7500 0.3334 0.9158
Cs 0.2500 0.1666 0.4158
Cl 0.7500 0.7091 0.0922
Cs 0.7500 0.8334 0.5842
Cs 0.7500 0.0276 0.2097
Cs 0.2500 0.4724 0.7097
Cl 0.7500 0.4824 0.7012
Cl 0.7500 0.2091 0.4078
Cl 0.0068 0.6627 0.8805
Cs 0.7500 0.5276 0.2903
Cl 0.4932 0.6627 0.8805
Cl 0.2500 0.0176 0.2012

Summary:
VASP energy = -4.31 eV per atom
Uncorrected formation energy = -2.202 eV per atom
Calculated volume = 32.36 A^3/atom

Cs2LiErCl6 after structural relaxation. Source: the Alexandria database, functional PBEsol.

a b c (Å): 7.2992 7.2992 7.2992
angles (deg): 60.00 60.00 60.00
Atoms (fractional coordinates):
Cs 0.2500 0.2500 0.2500
Cs 0.7500 0.7500 0.7500
Cl 0.2494 0.7506 0.2494
Cl 0.7506 0.2494 0.7506
Cl 0.7506 0.7506 0.2494
Li 0.0000 0.0000 0.0000
Cl 0.2494 0.7506 0.7506
Er 0.5000 0.5000 0.5000
Cl 0.2494 0.2494 0.7506
Cl 0.7506 0.2494 0.2494

Summary:
VASP energy = -4.23 eV per atom
Uncorrected formation energy = -2.146 eV per atom
Calculated volume = 27.50 A^3/atom

Cs3Fe2Cl9 after structural relaxation. Source: the Alexandria database, functional PBEsol.

a b c (Å): 7.0762 7.0762 8.7888
angles (deg): 90.00 90.00 120.00
Site moments in Bohr magnetons follow the coordinates.
Atoms (fractional coordinates):
Cl 0.1754 0.8246 0.6855  0.20
Cl 0.3508 0.1754 0.3145  0.20
Fe 0.6667 0.3333 0.1825  3.85
Cl 0.0000 0.5000 0.0000  0.12
Cl 0.5000 0.0000 0.0000  0.12
Cl 0.5000 0.5000 0.0000  0.12
Cl 0.8246 0.6492 0.3145  0.20
Cl 0.1754 0.3508 0.6855  0.20
Cs 0.0000 0.0000 0.0000  0.01
Cs 0.6667 0.3333 0.6656  0.01
Fe 0.3333 0.6667 0.8175  3.85
Cl 0.8246 0.1754 0.3145  0.20
Cl 0.6492 0.8246 0.6855  0.20
Cs 0.3333 0.6667 0.3344  0.01

Summary:
VASP energy = -4.06 eV per atom
Uncorrected formation energy = -1.289 eV per atom
Calculated volume = 27.22 A^3/atom

CsFeCl4 after structural relaxation. Source: the Alexandria database, functional PBEsol.

a b c (Å): 6.9240 9.4789 11.6399
angles (deg): 90.00 90.00 90.00
Site moments in Bohr magnetons follow the coordinates.
Atoms (fractional coordinates):
Cl 0.2500 0.6392 0.8785  0.21
Cl 0.7500 0.0317 0.3223  0.21
Cs 0.2500 0.1540 0.1855  0.01
Cs 0.2500 0.3460 0.6855  0.01
Cs 0.7500 0.8460 0.8145  0.01
Cl 0.9959 0.6616 0.5877  0.19
Cl 0.4959 0.1616 0.9123  0.19
Cl 0.0041 0.1616 0.9123  0.19
Fe 0.7500 0.2934 0.9431  3.73
Cl 0.5041 0.6616 0.5877  0.19
Cl 0.2500 0.8608 0.3785  0.21
Cl 0.2500 0.5317 0.1777  0.21
Fe 0.7500 0.2066 0.4431  3.73
Cl 0.7500 0.3608 0.1215  0.21
Cl 0.7500 0.1392 0.6215  0.21
Cl 0.4959 0.3384 0.4123  0.19
Fe 0.2500 0.7934 0.5569  3.73
Cl 0.0041 0.3384 0.4123  0.19
Cl 0.2500 0.9683 0.6777  0.21
Fe 0.2500 0.7066 0.0569  3.73
Cl 0.7500 0.4683 0.8223  0.21
Cs 0.7500 0.6540 0.3145  0.01
Cl 0.9959 0.8384 0.0877  0.19
Cl 0.5041 0.8384 0.0877  0.19

Summary:
VASP energy = -4.21 eV per atom
Uncorrected formation energy = -1.216 eV per atom
Calculated volume = 31.83 A^3/atom

CsLaZr6FeCl18 after structural relaxation. Source: the Alexandria database, functional PBEsol.

a b c (Å): 9.6165 9.6165 18.3299
angles (deg): 90.00 90.00 120.00
Atoms (fractional coordinates):
Zr 0.9568 0.7777 0.0755
Zr 0.2223 0.1791 0.0755
Cl 0.9547 0.7644 0.8401
Cl 0.1903 0.2356 0.3401
Cs 0.6667 0.3333 0.7500
Cs 0.3333 0.6667 0.2500
Fe 0.0000 0.0000 0.0000
Zr 0.7777 0.8209 0.9245
Cl 0.4575 0.0764 0.3369
Cl 0.5425 0.6189 0.8369
Cl 0.3811 0.4575 0.6631
Cl 0.1451 0.4235 0.4995
Zr 0.7777 0.9568 0.5755
Cl 0.4575 0.3811 0.1631
Cl 0.3811 0.9236 0.8369
Cl 0.0764 0.6189 0.6631
Cl 0.2356 0.0453 0.6599
Zr 0.2223 0.0432 0.4245
Cl 0.1451 0.7216 0.0005
Cl 0.5765 0.8549 0.0005
Cl 0.8097 0.0453 0.8401
Cl 0.7216 0.5765 0.9995
Zr 0.9568 0.1791 0.4245
Cl 0.9236 0.3811 0.3369
Cl 0.9236 0.5425 0.1631
Cl 0.8549 0.2784 0.9995
Cl 0.0453 0.8097 0.3401
Cl 0.1903 0.9547 0.1599
Zr 0.1791 0.2223 0.5755
Cl 0.4235 0.1451 0.9995
Cl 0.9547 0.1903 0.6599
Cl 0.5765 0.7216 0.4995
Cl 0.5425 0.9236 0.6631
Cl 0.7644 0.8097 0.1599
Zr 0.0432 0.8209 0.5755
Cl 0.2784 0.8549 0.4995
Cl 0.0453 0.2356 0.1599
Cl 0.0764 0.4575 0.8369
Cl 0.2784 0.4235 0.0005
La 0.3333 0.6667 0.7500
Cl 0.7644 0.9547 0.3401
Zr 0.8209 0.0432 0.0755
Cl 0.8549 0.5765 0.5005
Zr 0.1791 0.9568 0.9245
Fe 0.0000 0.0000 0.5000
Zr 0.0432 0.2223 0.9245
Zr 0.8209 0.7777 0.4245
Cl 0.8097 0.7644 0.6599
Cl 0.6189 0.5425 0.3369
Cl 0.7216 0.1451 0.5005
Cl 0.6189 0.0764 0.1631
Cl 0.2356 0.1903 0.8401
La 0.6667 0.3333 0.2500
Cl 0.4235 0.2784 0.5005

Summary:
VASP energy = -5.76 eV per atom
Uncorrected formation energy = -1.837 eV per atom
Calculated volume = 27.19 A^3/atom

CsFePCl2 after structural relaxation. Source: the Alexandria database, functional PBEsol.

a b c (Å): 4.3026 5.1655 5.1655
angles (deg): 90.00 90.00 90.00
Site moments in Bohr magnetons follow the coordinates.
Atoms (fractional coordinates):
Fe 0.0000 0.0000 0.0000  2.29
Cs 0.5000 0.5000 0.5000  -0.01
P 0.5000 0.0000 0.0000  -0.22
Cl 0.0000 0.0000 0.5000  0.01
Cl 0.0000 0.5000 0.0000  0.01

Summary:
VASP energy = -4.50 eV per atom
Uncorrected formation energy = -0.554 eV per atom
Calculated volume = 22.96 A^3/atom

CsFeP2Cl after structural relaxation. Source: the Alexandria database, functional PBEsol.

a b c (Å): 4.3359 4.3359 6.3220
angles (deg): 90.00 90.00 90.00
Site moments in Bohr magnetons follow the coordinates.
Atoms (fractional coordinates):
P 0.5000 0.0000 0.0000  -0.02
Fe 0.0000 0.0000 0.0000  1.56
Cl 0.0000 0.0000 0.5000  0.08
P 0.0000 0.5000 0.0000  -0.02
Cs 0.5000 0.5000 0.5000  0.00

Summary:
VASP energy = -4.92 eV per atom
Uncorrected formation energy = -0.219 eV per atom
Calculated volume = 23.77 A^3/atom

CsGaCl4 after structural relaxation. Source: the Alexandria database, functional PBEsol.

a b c (Å): 7.0192 9.4710 11.6496
angles (deg): 90.00 90.00 90.00
Atoms (fractional coordinates):
Cl 0.2500 0.9634 0.6957
Cl 0.7500 0.0366 0.3043
Cs 0.7500 0.6571 0.3189
Cs 0.7500 0.8429 0.8189
Cl 0.9983 0.8340 0.0895
Cl 0.4983 0.1660 0.9105
Cl 0.9983 0.6660 0.5895
Cl 0.7500 0.1200 0.6096
Cs 0.2500 0.1571 0.1811
Cl 0.5017 0.8340 0.0895
Ga 0.2500 0.7993 0.5649
Cl 0.7500 0.3800 0.1096
Cl 0.0017 0.3340 0.4105
Cl 0.5017 0.6660 0.5895
Cl 0.0017 0.1660 0.9105
Cl 0.2500 0.6200 0.8904
Cl 0.2500 0.8800 0.3904
Ga 0.2500 0.7007 0.0649
Cl 0.7500 0.4634 0.8043
Ga 0.7500 0.2007 0.4351
Cl 0.4983 0.3340 0.4105
Cs 0.2500 0.3429 0.6811
Cl 0.2500 0.5366 0.1957
Ga 0.7500 0.2993 0.9351

Summary:
VASP energy = -3.57 eV per atom
Uncorrected formation energy = -1.516 eV per atom
Calculated volume = 32.27 A^3/atom

CsGa2PbCl after structural relaxation. Source: the Alexandria database, functional PBEsol.

a b c (Å): 6.0858 6.0858 6.4069
angles (deg): 90.00 90.00 90.00
Atoms (fractional coordinates):
Ga 0.5000 0.0000 0.0000
Cs 0.0000 0.0000 0.0000
Ga 0.0000 0.5000 0.0000
Pb 0.0000 0.0000 0.5000
Cl 0.5000 0.5000 0.5000

Summary:
VASP energy = -1.64 eV per atom
Uncorrected formation energy = 1.090 eV per atom
Calculated volume = 47.46 A^3/atom

Cs3GdCl6 after structural relaxation. Source: the Alexandria database, functional PBEsol.

a b c (Å): 8.2340 8.2340 8.2340
angles (deg): 60.00 60.00 60.00
Site moments in Bohr magnetons follow the coordinates.
Atoms (fractional coordinates):
Gd 0.0000 0.0000 0.0000  6.87
Cl 0.2259 0.2259 0.7741  -0.01
Cl 0.7741 0.2259 0.7741  -0.01
Cl 0.7741 0.7741 0.2259  -0.01
Cl 0.2259 0.7741 0.7741  -0.01
Cs 0.2500 0.2500 0.2500  0.00
Cl 0.2259 0.7741 0.2259  -0.01
Cl 0.7741 0.2259 0.2259  -0.01
Cs 0.5000 0.5000 0.5000  -0.01
Cs 0.7500 0.7500 0.7500  0.00

Summary:
VASP energy = -5.03 eV per atom
Uncorrected formation energy = -2.094 eV per atom
Calculated volume = 39.47 A^3/atom

Cs2LiGdCl6 after structural relaxation. Source: the Alexandria database, functional PBEsol.

a b c (Å): 7.3567 7.3567 7.3567
angles (deg): 60.00 60.00 60.00
Site moments in Bohr magnetons follow the coordinates.
Atoms (fractional coordinates):
Gd 0.5000 0.5000 0.5000  6.89
Cl 0.7535 0.2465 0.7535  0.00
Cs 0.2500 0.2500 0.2500  0.00
Cl 0.7535 0.7535 0.2465  0.00
Cs 0.7500 0.7500 0.7500  0.00
Cl 0.2465 0.2465 0.7535  0.00
Cl 0.7535 0.2465 0.2465  0.00
Cl 0.2465 0.7535 0.7535  0.00
Li 0.0000 0.0000 0.0000  0.00
Cl 0.2465 0.7535 0.2465  0.00

Summary:
VASP energy = -5.17 eV per atom
Uncorrected formation energy = -2.131 eV per atom
Calculated volume = 28.15 A^3/atom

Cs2RbGdCl6 after structural relaxation. Source: the Alexandria database, functional PBEsol.

a b c (Å): 8.0361 8.0361 8.0361
angles (deg): 60.00 60.00 60.00
Site moments in Bohr magnetons follow the coordinates.
Atoms (fractional coordinates):
Cs 0.7500 0.7500 0.7500  0.00
Cl 0.7685 0.7685 0.2315  0.00
Cs 0.2500 0.2500 0.2500  0.00
Cl 0.2315 0.7685 0.7685  0.00
Gd 0.0000 0.0000 0.0000  6.89
Cl 0.7685 0.2315 0.2315  0.00
Cl 0.2315 0.2315 0.7685  0.00
Cl 0.7685 0.2315 0.7685  0.00
Cl 0.2315 0.7685 0.2315  0.00
Rb 0.5000 0.5000 0.5000  0.00

Summary:
VASP energy = -5.05 eV per atom
Uncorrected formation energy = -2.113 eV per atom
Calculated volume = 36.70 A^3/atom

CsRb2GdCl6 after structural relaxation. Source: the Alexandria database, functional PBEsol.

a b c (Å): 8.2216 8.2216 8.2216
angles (deg): 60.00 60.00 60.00
Site moments in Bohr magnetons follow the coordinates.
Atoms (fractional coordinates):
Gd 0.0000 0.0000 0.0000  6.88
Cs 0.5000 0.5000 0.5000  -0.01
Cl 0.7739 0.2261 0.2261  -0.01
Cl 0.2261 0.2261 0.7739  -0.01
Cl 0.7739 0.7739 0.2261  -0.01
Cl 0.2261 0.7739 0.7739  -0.01
Cl 0.7739 0.2261 0.7739  -0.01
Cl 0.2261 0.7739 0.2261  -0.01
Rb 0.7500 0.7500 0.7500  0.00
Rb 0.2500 0.2500 0.2500  0.00

Summary:
VASP energy = -4.98 eV per atom
Uncorrected formation energy = -2.027 eV per atom
Calculated volume = 39.30 A^3/atom

CsGe2Cl after structural relaxation. Source: the Alexandria database, functional PBEsol.

a b c (Å): 5.3163 5.3163 5.3163
angles (deg): 60.00 60.00 60.00
Atoms (fractional coordinates):
Cs 0.5000 0.5000 0.5000
Cl 0.0000 0.0000 0.0000
Ge 0.7500 0.7500 0.7500
Ge 0.2500 0.2500 0.2500

Summary:
VASP energy = -2.70 eV per atom
Uncorrected formation energy = 0.504 eV per atom
Calculated volume = 26.56 A^3/atom

Cs3GeCl after structural relaxation. Source: the Alexandria database, functional PBEsol.

a b c (Å): 6.4358 6.4358 6.4358
angles (deg): 90.00 90.00 90.00
Site moments in Bohr magnetons follow the coordinates.
Atoms (fractional coordinates):
Cs 0.0000 0.0000 0.5000  0.02
Cl 0.0000 0.0000 0.0000  0.00
Cs 0.0000 0.5000 0.0000  0.02
Ge 0.5000 0.5000 0.5000  0.57
Cs 0.5000 0.0000 0.0000  0.02

Summary:
VASP energy = -2.47 eV per atom
Uncorrected formation energy = -0.516 eV per atom
Calculated volume = 53.31 A^3/atom

Cs2HCl after structural relaxation. Source: the Alexandria database, functional PBEsol.

a b c (Å): 8.1985 7.4135 8.1985
angles (deg): 56.43 90.00 123.57
Atoms (fractional coordinates):
Cl 0.7500 0.5000 0.7500
Cs 0.1637 0.7500 0.8750
Cs 0.5863 0.7500 0.3750
Cs 0.8750 0.2500 0.5863
Cs 0.3750 0.2500 0.1637
H 0.5000 0.0000 0.5000
H 0.2500 0.5000 0.2500
Cl 0.0000 0.0000 0.0000

Summary:
VASP energy = -2.79 eV per atom
Calculated volume = 38.82 A^3/atom

CsHIrCl2 after structural relaxation. Source: the Alexandria database, functional PBEsol.

a b c (Å): 3.8260 5.9922 5.9922
angles (deg): 90.00 90.00 90.00
Site moments in Bohr magnetons follow the coordinates.
Atoms (fractional coordinates):
Cl 0.0000 0.0000 0.5000  0.07
Cs 0.0000 0.0000 0.0000  0.00
Ir 0.5000 0.5000 0.5000  2.04
Cl 0.0000 0.5000 0.0000  0.07
H 0.5000 0.0000 0.0000  0.00

Summary:
VASP energy = -2.35 eV per atom
Calculated volume = 27.48 A^3/atom

Cs2MgHCl after structural relaxation. Source: the Alexandria database, functional PBEsol.

a b c (Å): 4.5808 5.8915 5.8915
angles (deg): 90.00 90.00 90.00
Atoms (fractional coordinates):
H 0.0000 0.0000 0.0000
Cs 0.0000 0.0000 0.5000
Mg 0.5000 0.0000 0.0000
Cl 0.5000 0.5000 0.5000
Cs 0.0000 0.5000 0.0000

Summary:
VASP energy = -2.33 eV per atom
Calculated volume = 31.80 A^3/atom